[1]
A relaxed structure of Li2GaPd2, computed with GGA-PBE.

Raw total energy ... -4.02 eV per atom
Calculated formation energy ... -573 meV/atom
Offset from the most stable computed form ... 0.0000 eV per atom

Cell: 4.2273 4.2273 5.2357 Å, 113.99 113.99 59.81°
With the nearest neighbours (Å) after each atom.
Positions (direct):
Li 0.1975 0.1975 0.0925  3 Li 2.58-2.59, 4 Pd 2.64-2.76, 1 Ga 2.74
Li 0.8025 0.8025 0.9075  3 Li 2.58-2.59, 4 Pd 2.64-2.76, 1 Ga 2.74
Ga 0.0000 0.0000 0.5000  6 Pd 2.59, 2 Li 2.74
Pd 0.3961 0.3961 0.6884  3 Ga 2.59, 4 Li 2.64-2.76, 1 Pd 2.88
Pd 0.6039 0.6039 0.3116  3 Ga 2.59, 4 Li 2.64-2.76, 1 Pd 2.88

***

[2]
A relaxed structure of LiAuF2, computed with GGA-PBE.

Raw total energy ... -3.48 eV per atom
ΔE_f (raw) ... -120.1 kJ per mole of atoms

Cell: 4.1719 4.1719 4.1719 Å, 60.00 60.00 60.00°
With the nearest neighbours (Å) after each atom.
Positions (direct):
Li 0.0000 0.0000 0.0000  8 F 2.55
Au 0.5000 0.5000 0.5000  8 F 2.55
F 0.2500 0.2500 0.2500  4 Li 2.55, 4 Au 2.55
F 0.7500 0.7500 0.7500  4 Li 2.55, 4 Au 2.55

***

[3]
A relaxed structure of ZrMnCu, computed with GGA-PBE.

Raw total energy ... -6.91 eV per atom
Calculated formation energy ... 364 meV/atom
Offset from the most stable computed form ... 0.3351 eV per atom

Cell: 4.2798 4.2798 4.2798 Å, 60.00 60.00 60.00°
With the nearest neighbours (Å) after each atom.
Positions (direct):
Zr 0.0000 0.0000 0.0000  4 Cu 2.62
Mn 0.5000 0.5000 0.5000  4 Cu 2.62
Cu 0.7500 0.7500 0.7500  4 Zr 2.62, 4 Mn 2.62

***

[4]
A relaxed structure of KMo2Br, computed with GGA-PBE.

Raw total energy ... -5.41 eV per atom
ΔE_f (raw) ... 67.2 kJ per mole of atoms
Offset from the most stable computed form ... 0.4471 eV per atom

Cell: 3.3027 6.8303 4.9417 Å, 90.00 91.38 90.00°
With the nearest neighbours (Å) after each atom.
Positions (direct):
K 0.0000 0.0000 0.0000  4 Br 2.94-3.00
Mo 0.2639 0.5000 0.1642  2 Mo 2.28-2.35
Mo 0.7361 0.5000 0.8358  2 Mo 2.28-2.35
Br 0.5000 0.0000 0.5000  4 K 2.94-3.00

***

- Among the records above, which one has the lowest raw total energy?
  ZrMnCu

***

What did the second record say?
A relaxed structure of LiAuF2, computed with GGA-PBE.

Raw total energy ... -3.48 eV per atom
ΔE_f (raw) ... -120.1 kJ per mole of atoms

Cell: 4.1719 4.1719 4.1719 Å, 60.00 60.00 60.00°
With the nearest neighbours (Å) after each atom.
Positions (direct):
Li 0.0000 0.0000 0.0000  8 F 2.55
Au 0.5000 0.5000 0.5000  8 F 2.55
F 0.2500 0.2500 0.2500  4 Li 2.55, 4 Au 2.55
F 0.7500 0.7500 0.7500  4 Li 2.55, 4 Au 2.55